[1]
Compound: ScAlZn2Au5
Source: the Alexandria database
Functional: PBE-GGA
Structure: optimized geometry

Cell and atoms, written as extended XYZ:
```
9
Lattice="4.758 0.000 0.000 0.000 5.575 0.000 -2.379 -2.787 6.958" Properties=species:S:1:pos:R:3 pbc="T T T"
Sc 0.000 2.787 0.000
Al 2.379 0.000 0.000
Zn 0.000 0.000 2.590
Zn 2.379 2.787 4.368
Au 2.379 4.138 2.114
Au 0.000 -1.351 4.843
Au 0.000 1.351 4.843
Au 2.379 1.436 2.114
Au 0.000 0.000 0.000
```

Total energy: -30.4 eV per formula unit
Crystal system: orthorhombic
Symmetry: Immm, No. 71
ΔH_f (0 K): -0.152 eV/atom

=====

[2]
Compound: AlAuSe2
Source: the Alexandria database
Functional: PBE-GGA
Structure: optimized geometry

Cell and atoms, written as extended XYZ:
```
4
Lattice="-4.985 3.451 -1.491 -6.015 0.056 -1.672 -1.980 0.344 4.827" Properties=species:S:1:pos:R:3 pbc="T T T"
Au -3.245 0.963 0.416
Al -9.735 2.888 1.248
Se -3.096 0.720 4.115
Se -5.374 1.549 1.544
```

Total energy: -15.5 eV per formula unit
Crystal system: monoclinic
Symmetry: C2/m, No. 12
Raw formation energy: -0.37 eV/atom

=====

[3]
Compound: AlAuSe2
Source: the Alexandria database
Functional: PBE-GGA
Structure: optimized geometry

Cell and atoms, written as extended XYZ:
```
4
Lattice="7.508 0.000 0.735 1.727 1.889 -2.775 -1.727 1.889 2.775" Properties=species:S:1:pos:R:3 pbc="T T T"
Au 0.000 0.000 0.000
Al 3.754 1.889 0.368
Se 6.082 1.889 -0.640
Se 1.425 1.889 1.375
```

Total energy: -15.3 eV per formula unit
Crystal system: monoclinic
Symmetry: C2/m, No. 12
Raw formation energy: -0.33 eV/atom

=====

[4]
Compound: Al2AuSe
Source: the Alexandria database
Functional: PBE-GGA
Structure: optimized geometry

Cell and atoms, written as extended XYZ:
```
8
Lattice="6.124 0.000 0.000 0.000 6.124 0.000 3.062 3.062 5.194" Properties=species:S:1:pos:R:3 pbc="T T T"
Au 0.000 0.000 0.000
Au 6.124 3.062 2.597
Al 4.657 1.531 1.299
Al 1.467 4.593 1.299
Al 4.593 4.529 3.896
Al 7.655 7.720 3.896
Se 3.062 3.062 0.000
Se 3.062 6.124 2.597
```

Total energy: -15.4 eV per formula unit
Crystal system: tetragonal
Symmetry: I-42d, No. 122
Raw formation energy: -0.28 eV/atom